An optimized crystal structure of ZrVGaSb2. Source: the Alexandria database, functional PBE.

Summary:
- Symmetry: P4/mmm, No. 123
- Formation energy from raw total energies: 0.837 eV/atom

Cell lengths 5.5347, 4.7926, 5.5347 Å; angles 90.00, 90.00, 90.00 degrees
Each line ends with the local moment (μB).
Fractional coordinates of all 5 atoms:
Sb  0.0000  0.0000  0.5000  -0.01
Sb  0.5000  0.0000  0.0000  0.01
Ga  0.5000  0.5000  0.5000  -0.01
Zr  0.0000  0.0000  0.0000  0.00
V  0.0000  0.5000  0.0000  0.15

=====

An optimized crystal structure of SmHfAl2. Source: the Alexandria database, functional PBE.

Summary:
- Excess energy over the best structure of this formula in the dataset: 0.0000 eV/atom
- Symmetry: P4/mmm, No. 123
- Calculated formation energy: -0.2789 eV per atom

Cell lengths 3.6102, 3.6102, 6.6881 Å; angles 90.00, 90.00, 90.00 degrees
Fractional coordinates of all 4 atoms:
Hf  0.5000  0.5000  0.0000
Al  0.0000  0.0000  0.7919
Al  0.0000  0.0000  0.2081
Sm  0.5000  0.5000  0.5000

=====

An optimized crystal structure of ZrNiSI2. Source: the Alexandria database, functional PBE.

Summary:
- Symmetry: P4/mmm, No. 123
- Formation energy from raw total energies: 0.640 eV/atom

Cell lengths 5.6641, 4.9222, 5.6641 Å; angles 90.00, 90.00, 90.00 degrees
Each line ends with the local moment (μB).
Fractional coordinates of all 5 atoms:
I  0.0000  0.0000  0.5000  0.07
I  0.5000  0.0000  0.0000  0.05
Ni  0.0000  0.5000  0.0000  0.35
S  0.5000  0.5000  0.5000  0.92
Zr  0.0000  0.0000  0.0000  0.04

=====

An optimized crystal structure of BeCu2Si. Source: the Alexandria database, functional PBE.

Summary:
- Symmetry: I4/mmm, No. 139
- Formation energy from raw total energies: 0.027 eV/atom

Cell lengths 4.3562, 4.3562, 4.3562 Å; angles 131.69, 131.74, 70.69 degrees
Fractional coordinates of all 4 atoms:
Be  0.2500  0.7500  0.5000
Si  0.7500  0.2500  0.5000
Cu  0.9999  0.9999  0.0000
Cu  0.5001  0.5001  0.0000

=====

An optimized crystal structure of SrCdS2. Source: the Alexandria database, functional PBE.

Summary:
- Symmetry: I-42d, No. 122
- Formation energy from raw total energies: -1.248 eV/atom

Cell lengths 7.0952, 7.0952, 6.6510 Å; angles 57.76, 57.76, 90.00 degrees
Fractional coordinates of all 8 atoms:
Sr  0.5000  0.5000  0.0000
Sr  0.2500  0.7500  0.5000
S  0.6634  0.1250  0.2500
S  0.0866  0.6250  0.2500
S  0.3750  0.3366  0.7500
S  0.8750  0.9134  0.7500
Cd  0.0000  0.0000  0.0000
Cd  0.7500  0.2500  0.5000

=====

An optimized crystal structure of U2PaFeN4. Source: the Alexandria database, functional PBE.

Summary:
- Symmetry: Cmcm, No. 63
- Formation energy from raw total energies: -1.181 eV/atom

Cell lengths 3.3606, 5.8697, 11.2708 Å; angles 90.00, 90.00, 106.63 degrees
Each line ends with the local moment (μB).
Fractional coordinates of all 16 atoms:
U  0.3673  0.7346  0.5593  1.40
U  0.6327  0.2654  0.0593  1.40
U  0.6327  0.2654  0.4407  1.40
U  0.3673  0.7346  0.9407  1.40
Pa  0.1089  0.2177  0.7500  0.42
Pa  0.8911  0.7823  0.2500  0.42
Fe  0.8455  0.6911  0.7500  -1.15
Fe  0.1545  0.3089  0.2500  -1.15
N  0.2786  0.5572  0.1253  -0.06
N  0.7214  0.4428  0.6253  -0.06
N  0.7214  0.4428  0.8747  -0.06
N  0.2786  0.5572  0.3747  -0.06
N  0.0000  0.0000  0.5000  -0.08
N  0.0000  0.0000  0.0000  -0.08
N  0.4553  0.9106  0.7500  -0.05
N  0.5447  0.0894  0.2500  -0.05

=====

An optimized crystal structure of Li3SnAs. Source: the Alexandria database, functional PBE.

Summary:
- Excess energy over the best structure of this formula in the dataset: 0.0000 eV/atom
- Symmetry: Pm, No. 6
- Calculated formation energy: -0.4718 eV per atom

Cell lengths 4.1734, 6.3260, 7.2510 Å; angles 89.96, 90.00, 90.00 degrees
Fractional coordinates of all 10 atoms:
Li  0.3756  0.4629  0.1982
Li  0.3756  0.8568  0.0053
Li  0.8756  0.4951  0.5055
Li  0.8756  0.8900  0.6976
Li  0.8757  0.4983  0.8969
Li  0.3756  0.8553  0.3968
Sn  0.3756  0.2068  0.7033
Sn  0.8756  0.1459  0.2008
As  0.3756  0.6291  0.7016
As  0.8756  0.7236  0.2017

=====

An optimized crystal structure of Tl3HgW. Source: the Alexandria database, functional PBE.

Summary:
- Excess energy over the best structure of this formula in the dataset: 0.0000 eV/atom
- Symmetry: Pm-3m, No. 221
- Calculated formation energy: 0.7240 eV per atom

Cell lengths 5.4546, 5.4546, 5.4546 Å; angles 90.00, 90.00, 90.00 degrees
Fractional coordinates of all 5 atoms:
Tl  0.0000  0.5000  0.0000
Tl  0.0000  0.0000  0.5000
Tl  0.5000  0.0000  0.0000
Hg  0.5000  0.5000  0.5000
W  0.0000  0.0000  0.0000

=====

An optimized crystal structure of Ac3IrPbAu. Source: the Alexandria database, functional PBE.

Summary:
- Symmetry: P2_1/m, No. 11
- Calculated formation energy: -0.5685 eV per atom

Cell lengths 4.6801, 9.0163, 10.3490 Å; angles 116.20, 90.00, 90.00 degrees
Fractional coordinates of all 12 atoms:
Ac  0.2500  0.6924  0.4760
Ac  0.7500  0.9145  0.1365
Ac  0.7500  0.4766  0.1384
Ac  0.7500  0.3076  0.5240
Ac  0.2500  0.5234  0.8616
Ac  0.2500  0.0855  0.8635
Ir  0.2500  0.7198  0.1786
Ir  0.7500  0.2802  0.8214
Pb  0.7500  0.7427  0.7476
Pb  0.2500  0.2573  0.2524
Au  0.2500  0.1029  0.5695
Au  0.7500  0.8971  0.4305

=====

An optimized crystal structure of ZrTc4H2. Source: the Alexandria database, functional PBE.

Summary:
- Symmetry: I4/mmm, No. 139

Cell lengths 4.7098, 4.7098, 5.7315 Å; angles 65.74, 65.74, 90.00 degrees
Each line ends with the local moment (μB).
Fractional coordinates of all 7 atoms:
H  0.5552  0.5552  0.8896  0.00
H  0.4448  0.4448  0.1104  0.00
Tc  0.7268  0.7268  0.5465  0.32
Tc  0.2732  0.2732  0.4535  0.32
Tc  0.0000  0.5000  0.0000  -0.32
Tc  0.5000  0.0000  0.0000  -0.32
Zr  0.0000  0.0000  0.0000  0.02

=====

An optimized crystal structure of SrInTc2. Source: the Alexandria database, functional PBE.

Summary:
- Symmetry: Pmmm, No. 47
- Calculated formation energy: 0.8656 eV per atom

Cell lengths 3.5535, 4.7998, 4.7152 Å; angles 90.00, 90.00, 90.00 degrees
Fractional coordinates of all 4 atoms:
In  0.5000  0.0000  0.5000
Sr  0.0000  0.5000  0.5000
Tc  0.0000  0.0000  0.0000
Tc  0.5000  0.5000  0.0000

=====

Number 1: electronic total energy -4.9511 eV per atom. Number 2: electronic total energy -5.8183 eV per atom. Number 3: electronic total energy -3.6713 eV per atom. Number 4: electronic total energy -4.3086 eV per atom. Number 5: electronic total energy -3.9609 eV per atom. Number 6: electronic total energy -10.4109 eV per atom. Number 7: electronic total energy -3.3505 eV per atom. Number 8: electronic total energy -3.3468 eV per atom. Number 9: electronic total energy -5.2638 eV per atom. Number 10: electronic total energy -6.5630 eV per atom. Number 11: electronic total energy -5.4224 eV per atom.